1.
# TbNd2Ho6 PBE relaxed
data_TbNd2Ho6
_symmetry_space_group_name_H-M 'C 1 2/c 1'
_symmetry_Int_Tables_number 15
_cell_length_a 14.186
_cell_length_b 14.088
_cell_length_c 6.430
_cell_angle_alpha 90.00
_cell_angle_beta 114.79
_cell_angle_gamma 90.00
loop_
_symmetry_equiv_pos_as_xyz
'x,y,z'
'-x,-y,-z'
'-x,y,-z+1/2'
'x,-y,z+1/2'
'x+1/2,y+1/2,z'
'-x+1/2,-y+1/2,-z'
'-x+1/2,y+1/2,-z+1/2'
'x+1/2,-y+1/2,z+1/2'
loop_
_atom_site_label
_atom_site_type_symbol
_atom_site_fract_x
_atom_site_fract_y
_atom_site_fract_z
Tb1 Tb 0.000 0.133 0.250
Nd1 Nd 0.148 0.462 0.463
Ho1 Ho 0.055 0.314 0.022
Ho2 Ho 0.126 0.071 0.948
Ho3 Ho 0.204 0.241 0.700
# - Electronic total energy: -4.419 eV/atom
# - Distance to the lowest polymorph of the same formula: 0.87 eV per formula unit
# - N(E_F): 1.36 states/eV per atom
# - Formation enthalpy at 0 K: 0.207 eV/atom

2.
# TbNd12Ho6 PBE relaxed
data_TbNd12Ho6
_symmetry_space_group_name_H-M 'R -3'
_symmetry_Int_Tables_number 148
_symmetry_space_group_name_Hall '-R 3'
_cell_length_a 15.7946
_cell_length_b 15.7946
_cell_length_c 8.8924
_cell_angle_alpha 90.00
_cell_angle_beta 90.00
_cell_angle_gamma 120.00
loop_
_atom_site_label
_atom_site_type_symbol
_atom_site_fract_x
_atom_site_fract_y
_atom_site_fract_z
Tb1 Tb 0.0000 0.0000 0.0000
Nd1 Nd 0.0354 0.7558 0.3358
Nd2 Nd 0.0709 0.5091 0.6663
Ho1 Ho 0.0171 0.8794 0.6655
# - Electronic total energy: -4.685 eV/atom
# - Distance to the lowest polymorph of the same formula: 0.00 eV per formula unit
# - N(E_F): 1.39 states/eV per atom
# - Formation enthalpy at 0 K: 0.016 eV/atom

3.
# Tb4Nd3Ho2 PBE relaxed
data_Tb4Nd3Ho2
_symmetry_space_group_name_H-M 'C 1 2/c 1'
_symmetry_Int_Tables_number 15
_cell_length_a 16.630
_cell_length_b 11.671
_cell_length_c 6.114
_cell_angle_alpha 90.00
_cell_angle_beta 96.95
_cell_angle_gamma 90.00
loop_
_symmetry_equiv_pos_as_xyz
'x,y,z'
'-x,-y,-z'
'-x,y,-z+1/2'
'x,-y,z+1/2'
'x+1/2,y+1/2,z'
'-x+1/2,-y+1/2,-z'
'-x+1/2,y+1/2,-z+1/2'
'x+1/2,-y+1/2,z+1/2'
loop_
_atom_site_label
_atom_site_type_symbol
_atom_site_fract_x
_atom_site_fract_y
_atom_site_fract_z
Tb1 Tb 0.048 0.137 0.016
Tb2 Tb 0.214 0.363 0.850
Nd1 Nd 0.000 0.398 0.750
Nd2 Nd 0.167 0.102 0.580
Ho1 Ho 0.118 0.364 0.315
# - Electronic total energy: -4.567 eV/atom
# - Distance to the lowest polymorph of the same formula: 0.73 eV per formula unit
# - N(E_F): 1.47 states/eV per atom
# - Formation enthalpy at 0 K: 0.098 eV/atom

4.
# TbNd6Ho2 PBE relaxed
data_TbNd6Ho2
_symmetry_space_group_name_H-M 'C 1 2/c 1'
_symmetry_Int_Tables_number 15
_cell_length_a 16.491
_cell_length_b 11.851
_cell_length_c 6.260
_cell_angle_alpha 90.00
_cell_angle_beta 96.09
_cell_angle_gamma 90.00
loop_
_symmetry_equiv_pos_as_xyz
'x,y,z'
'-x,-y,-z'
'-x,y,-z+1/2'
'x,-y,z+1/2'
'x+1/2,y+1/2,z'
'-x+1/2,-y+1/2,-z'
'-x+1/2,y+1/2,-z+1/2'
'x+1/2,-y+1/2,z+1/2'
loop_
_atom_site_label
_atom_site_type_symbol
_atom_site_fract_x
_atom_site_fract_y
_atom_site_fract_z
Tb1 Tb 0.000 0.099 0.250
Nd1 Nd 0.048 0.360 0.514
Nd2 Nd 0.120 0.141 0.819
Nd3 Nd 0.215 0.141 0.347
Ho1 Ho 0.166 0.401 0.083
# - Electronic total energy: -4.628 eV/atom
# - Distance to the lowest polymorph of the same formula: 0.00 eV per formula unit
# - N(E_F): 1.38 states/eV per atom
# - Formation enthalpy at 0 K: 0.082 eV/atom

5.
# Tb5Nd7Ho PBE relaxed
data_Tb5Nd7Ho
_symmetry_space_group_name_H-M 'I m m 2'
_symmetry_Int_Tables_number 44
_cell_length_a 6.748
_cell_length_b 11.392
_cell_length_c 11.770
_cell_angle_alpha 90.00
_cell_angle_beta 90.00
_cell_angle_gamma 90.00
loop_
_symmetry_equiv_pos_as_xyz
'x,y,z'
'-x,-y,z'
'-x,y,z'
'x,-y,z'
'x+1/2,y+1/2,z+1/2'
'-x+1/2,-y+1/2,z+1/2'
'-x+1/2,y+1/2,z+1/2'
'x+1/2,-y+1/2,z+1/2'
loop_
_atom_site_label
_atom_site_type_symbol
_atom_site_fract_x
_atom_site_fract_y
_atom_site_fract_z
Tb1 Tb 0.000 0.000 0.000
Tb2 Tb 0.232 0.271 0.504
Nd1 Nd 0.000 0.000 0.499
Nd2 Nd 0.000 0.171 0.250
Nd3 Nd 0.000 0.174 0.754
Nd4 Nd 0.000 0.500 0.308
Nd5 Nd 0.000 0.500 0.997
Ho1 Ho 0.000 0.500 0.687
# - Electronic total energy: -4.466 eV/atom
# - N(E_F): 1.69 states/eV per atom
# - Formation enthalpy at 0 K: 0.235 eV/atom

6.
# Tb4Nd3Ho3 PBE relaxed
data_Tb4Nd3Ho3
_symmetry_space_group_name_H-M 'A m m 2'
_symmetry_Int_Tables_number 38
_cell_length_a 3.711
_cell_length_b 13.325
_cell_length_c 13.406
_cell_angle_alpha 90.00
_cell_angle_beta 90.00
_cell_angle_gamma 90.00
loop_
_symmetry_equiv_pos_as_xyz
'x,y,z'
'-x,-y,z'
'-x,y,z'
'x,-y,z'
'x,y+1/2,z+1/2'
'-x,-y+1/2,z+1/2'
'-x,y+1/2,z+1/2'
'x,-y+1/2,z+1/2'
loop_
_atom_site_label
_atom_site_type_symbol
_atom_site_fract_x
_atom_site_fract_y
_atom_site_fract_z
Tb1 Tb 0.000 0.000 0.000
Tb2 Tb 0.000 0.000 0.254
Tb3 Tb 0.000 0.126 0.631
Nd1 Nd 0.500 0.000 0.455
Nd2 Nd 0.500 0.173 0.127
Ho1 Ho 0.000 0.246 0.876
Ho2 Ho 0.500 0.000 0.801
# - Electronic total energy: -4.554 eV/atom
# - N(E_F): 0.82 states/eV per atom
# - Formation enthalpy at 0 K: 0.102 eV/atom

7.
# Tb2Nd12Ho5 PBE relaxed
data_Tb2Nd12Ho5
_symmetry_space_group_name_H-M 'C 1 2/m 1'
_symmetry_Int_Tables_number 12
_cell_length_a 15.937
_cell_length_b 9.325
_cell_length_c 8.769
_cell_angle_alpha 90.00
_cell_angle_beta 91.95
_cell_angle_gamma 90.00
loop_
_symmetry_equiv_pos_as_xyz
'x,y,z'
'-x,-y,-z'
'-x,y,-z'
'x,-y,z'
'x+1/2,y+1/2,z'
'-x+1/2,-y+1/2,-z'
'-x+1/2,y+1/2,-z'
'x+1/2,-y+1/2,z'
loop_
_atom_site_label
_atom_site_type_symbol
_atom_site_fract_x
_atom_site_fract_y
_atom_site_fract_z
Tb1 Tb 0.000 0.171 0.000
Nd1 Nd 0.061 0.000 0.342
Nd2 Nd 0.082 0.500 0.882
Nd3 Nd 0.129 0.197 0.677
Nd4 Nd 0.151 0.318 0.237
Ho1 Ho 0.000 0.500 0.500
Ho2 Ho 0.203 0.000 0.029
Ho3 Ho 0.231 0.500 0.567
# - Electronic total energy: -4.583 eV/atom
# - Distance to the lowest polymorph of the same formula: 0.00 eV per formula unit
# - N(E_F): 1.38 states/eV per atom
# - Formation enthalpy at 0 K: 0.120 eV/atom

8.
# Tb3Nd4Ho4 PBE relaxed
data_Tb3Nd4Ho4
_symmetry_space_group_name_H-M 'P -1'
_symmetry_Int_Tables_number 2
_cell_length_a 3.595
_cell_length_b 5.066
_cell_length_c 20.005
_cell_angle_alpha 97.26
_cell_angle_beta 95.07
_cell_angle_gamma 90.00
loop_
_symmetry_equiv_pos_as_xyz
'x,y,z'
'-x,-y,-z'
loop_
_atom_site_label
_atom_site_type_symbol
_atom_site_fract_x
_atom_site_fract_y
_atom_site_fract_z
Tb1 Tb 0.000 0.000 0.000
Tb2 Tb 0.364 0.364 0.727
Nd1 Nd 0.182 0.182 0.364
Nd2 Nd 0.454 0.455 0.908
Ho1 Ho 0.093 0.090 0.183
Ho2 Ho 0.272 0.272 0.545
# - Electronic total energy: -4.646 eV/atom
# - Distance to the lowest polymorph of the same formula: 0.00 eV per formula unit
# - N(E_F): 1.28 states/eV per atom
# - Formation enthalpy at 0 K: 0.015 eV/atom

> What is the formation enthalpy at 0 K in the third record?

0.098 eV/atom